--- A ---
TlMoCl6, optimized geometry, DFT PBE-GGA; space group = C2/c, No. 15
1.0
5.623 -4.135 0.000
5.623 4.135 0.000
-0.066 0.000 10.679
Tl Mo Cl
2 2 12
Cartesian
5.573 4.017 8.009 Tl
5.606 -4.017 2.670 Tl
2.811 2.068 0.000 Mo
2.778 -2.068 5.339 Mo
3.753 1.690 2.118 Cl
1.914 0.145 5.333 Cl
1.881 -0.145 10.673 Cl
4.708 1.316 9.666 Cl
6.437 1.316 6.352 Cl
7.459 1.690 3.221 Cl
3.720 -1.690 7.457 Cl
4.742 -1.316 4.327 Cl
6.470 -1.316 1.012 Cl
9.298 0.145 0.006 Cl
9.265 -0.145 5.345 Cl
7.426 -1.690 8.561 Cl

***

--- B ---
TlMoCl6, optimized geometry, DFT PBE-GGA; space group = R-3m, No. 166
1.0
3.394 1.959 6.225
-3.394 1.959 6.225
0.000 -3.919 6.225
Tl Mo Cl
1 1 6
Cartesian
0.000 0.000 0.000 Tl
0.000 0.000 9.337 Mo
-1.655 -0.956 7.978 Cl
0.000 -1.911 10.697 Cl
-1.655 0.956 10.697 Cl
1.655 -0.956 7.978 Cl
0.000 1.911 7.978 Cl
1.655 0.956 10.697 Cl

***

Order from most stable to least stable according to the calculation: A, B

***

--- A ---
VMoCl3, optimized geometry, DFT PBE-GGA; space group = Pm-3m, No. 221
1.0
4.894 0.000 0.000
0.000 4.894 0.000
0.000 0.000 4.894
V Mo Cl
1 1 3
Cartesian
0.000 0.000 0.000 V
2.447 2.447 2.447 Mo
0.000 0.000 2.447 Cl
0.000 2.447 0.000 Cl
2.447 0.000 0.000 Cl

***

--- B ---
VMoCl3, optimized geometry, DFT PBE-GGA; space group = Pm-3m, No. 221
1.0
4.952 0.000 0.000
0.000 4.952 0.000
0.000 0.000 4.952
V Mo Cl
1 1 3
Cartesian
0.000 0.000 0.000 V
2.476 2.476 2.476 Mo
0.000 2.476 2.476 Cl
2.476 0.000 2.476 Cl
2.476 2.476 0.000 Cl

***

Order from most stable to least stable according to the calculation: A, B

***

--- A ---
Mo2WCl, optimized geometry, DFT PBE-GGA; space group = C2/m, No. 12
1.0
4.856 -1.499 0.000
4.856 1.499 0.000
-0.117 0.000 4.484
Mo W Cl
2 1 1
Cartesian
2.154 0.000 1.012 Mo
7.439 0.000 3.472 Mo
4.856 0.000 0.000 W
-0.059 0.000 2.242 Cl

***

--- B ---
Mo2WCl, optimized geometry, DFT PBE-GGA; space group = Imm2, No. 44
1.0
-1.464 2.267 4.623
1.464 -2.267 4.623
1.464 2.267 -4.623
Mo W Cl
2 1 1
Cartesian
0.000 0.000 0.000 Mo
0.000 2.267 2.066 Mo
1.464 0.000 2.520 W
0.000 0.000 4.608 Cl

***

--- C ---
Mo2WCl, optimized geometry, DFT PBE-GGA; space group = Cm, No. 8
1.0
4.959 -1.507 0.000
4.959 1.507 0.000
-0.223 0.000 4.456
Mo W Cl
2 1 1
Cartesian
0.000 0.000 0.000 Mo
6.863 0.000 3.398 Mo
2.647 0.000 0.948 W
4.531 0.000 2.583 Cl

***

--- D ---
Mo2WCl, optimized geometry, DFT PBE-GGA; space group = Cmmm, No. 65
1.0
1.594 -2.352 0.000
1.594 2.352 0.000
0.000 0.000 8.723
Mo W Cl
2 1 1
Cartesian
0.000 0.000 2.134 Mo
0.000 0.000 6.588 Mo
1.594 0.000 0.000 W
1.594 0.000 4.361 Cl

***

Order from most stable to least stable according to the calculation: D, C, B, A

***

--- A ---
Mo2WCl, optimized geometry, DFT PBE-GGA; space group = P4/mmm, No. 123
1.0
4.646 0.000 0.000
0.000 4.646 0.000
0.000 0.000 2.937
Mo W Cl
2 1 1
Cartesian
0.000 2.323 0.000 Mo
2.323 0.000 0.000 Mo
0.000 0.000 1.469 W
2.323 2.323 1.469 Cl

***

--- B ---
Mo2WCl, optimized geometry, DFT PBE-GGA; space group = Pmmm, No. 47
1.0
2.935 0.000 0.000
0.000 4.599 0.000
0.000 0.000 4.681
Mo W Cl
2 1 1
Cartesian
0.000 0.000 0.000 Mo
1.468 0.000 2.341 Mo
0.000 2.300 2.341 W
1.468 2.300 0.000 Cl

***

Order from most stable to least stable according to the calculation: A, B